[1]
This record from the Alexandria database describes a geometry-optimized AcBi2AsPd2 structure. The functional is PBE.

## Properties
Crystal system: tetragonal
Raw total energy in eV per formula unit: -29.659

Cell lengths 4.590, 4.590, 8.838 Å; angles 105.05, 105.05, 90.00 degrees
Fractional positions:
As 0.000 0.000 0.000
Bi 0.250 0.750 0.500
Bi 0.750 0.250 0.500
Pd 0.147 0.147 0.295
Pd 0.853 0.853 0.705
Ac 0.500 0.500 0.000


[2]
This record from the Alexandria database describes a geometry-optimized AcCe2As structure. The functional is PBE.

## Properties
Relative energy among the computed polymorphs in meV per atom: 0
Crystal system: trigonal

Cell lengths 4.005, 4.005, 9.887 Å; angles 78.31, 78.31, 60.01 degrees
Fractional positions:
Ce 0.061 0.061 0.816
Ce 0.272 0.272 0.185
Ac 0.500 0.500 0.499
As 0.667 0.667 0.000


[3]
This record from the Alexandria database describes a geometry-optimized Fe6AgPd12 structure. The functional is PBE.

## Properties
Crystal system: trigonal
Raw total energy in eV per formula unit: -116.954

Cell lengths 7.273, 7.273, 7.273 Å; angles 110.95, 110.95, 110.95 degrees
Fractional positions:
Pd 0.736 0.114 0.168
Pd 0.264 0.886 0.832
Pd 0.332 0.481 0.206
Pd 0.481 0.206 0.332
Pd 0.519 0.794 0.668
Pd 0.668 0.519 0.794
Pd 0.114 0.168 0.736
Pd 0.794 0.668 0.519
Pd 0.886 0.832 0.264
Pd 0.832 0.264 0.886
Pd 0.206 0.332 0.481
Pd 0.168 0.736 0.114
Fe 0.419 0.637 0.943
Fe 0.943 0.419 0.637
Fe 0.363 0.057 0.581
Fe 0.581 0.363 0.057
Fe 0.637 0.943 0.419
Fe 0.057 0.581 0.363
Ag 0.000 0.000 0.000


no.,volume (Å³ per cell)
1,173.2
2,133.5
3,278.7